(1)
# BeVCu, relaxed, DFT PBE-GGA
# crystal system: triclinic
# energy of formation: 14 meV/atom
data_BeVCu
_symmetry_space_group_name_H-M 'P 1'
_symmetry_Int_Tables_number 1
_cell_length_a 6.6828
_cell_length_b 4.8074
_cell_length_c 2.4371
_cell_angle_alpha 119.77
_cell_angle_beta 97.55
_cell_angle_gamma 91.56
loop_
_symmetry_equiv_pos_as_xyz
'x,y,z'
loop_
_atom_site_label
_atom_site_fract_x
_atom_site_fract_y
_atom_site_fract_z
Cu1 0.9266 0.7378 0.3584
Cu2 0.1554 0.2701 0.0237
V1 0.3076 0.7948 0.0448
V2 0.5351 0.3306 0.8635
Be1 0.8608 0.2565 0.3949
Be2 0.6352 0.8439 0.8301

=====

(2)
# Be2VCu, relaxed, DFT PBE-GGA
# crystal system: tetragonal
# energy of formation: -87 meV/atom
data_Be2VCu
_symmetry_space_group_name_H-M 'P 1'
_symmetry_Int_Tables_number 1
_cell_length_a 2.5574
_cell_length_b 2.5574
_cell_length_c 6.3250
_cell_angle_alpha 90.00
_cell_angle_beta 90.00
_cell_angle_gamma 90.00
loop_
_symmetry_equiv_pos_as_xyz
'x,y,z'
loop_
_atom_site_label
_atom_site_fract_x
_atom_site_fract_y
_atom_site_fract_z
V1 0.5000 0.5000 0.5000
Be1 0.0000 0.0000 0.2288
Be2 0.0000 0.0000 0.7712
Cu1 0.5000 0.5000 0.0000

=====

(3)
# Be8V3Cu, relaxed, DFT PBE-GGA
# crystal system: trigonal
# energy of formation: -150 meV/atom
data_Be8V3Cu
_symmetry_space_group_name_H-M 'P 1'
_symmetry_Int_Tables_number 1
_cell_length_a 4.3375
_cell_length_b 4.3375
_cell_length_c 7.5067
_cell_angle_alpha 73.21
_cell_angle_beta 73.21
_cell_angle_gamma 60.00
loop_
_symmetry_equiv_pos_as_xyz
'x,y,z'
loop_
_atom_site_label
_atom_site_fract_x
_atom_site_fract_y
_atom_site_fract_z
Be1 0.5616 0.5616 0.8168
Be2 0.3131 0.3131 0.0607
Be3 0.0604 0.5685 0.3106
Be4 0.0601 0.5616 0.8168
Be5 0.5685 0.0604 0.3106
Be6 0.8129 0.8129 0.5614
Be7 0.5616 0.0601 0.8168
Be8 0.0604 0.0604 0.3106
V1 0.5011 0.5011 0.4968
V2 0.0009 0.0009 0.9973
V3 0.6246 0.6246 0.1261
Cu1 0.1248 0.1248 0.6255

=====

(4)
# BeVCu2W, relaxed, DFT PBE-GGA
# crystal system: tetragonal
# energy of formation: 1772 meV/atom
data_BeVCu2W
_symmetry_space_group_name_H-M 'P 1'
_symmetry_Int_Tables_number 1
_cell_length_a 4.7089
_cell_length_b 4.4117
_cell_length_c 4.7089
_cell_angle_alpha 90.00
_cell_angle_beta 90.00
_cell_angle_gamma 90.00
loop_
_symmetry_equiv_pos_as_xyz
'x,y,z'
loop_
_atom_site_label
_atom_site_fract_x
_atom_site_fract_y
_atom_site_fract_z
Be1 0.5000 0.5000 0.5000
W1 0.0000 0.0000 0.0000
Cu1 0.5000 0.0000 0.0000
Cu2 0.0000 0.0000 0.5000
V1 0.0000 0.5000 0.0000

=====

(5)
# BeCuW2, relaxed, DFT PBE-GGA
# crystal system: orthorhombic
# energy of formation: 385 meV/atom
data_BeCuW2
_symmetry_space_group_name_H-M 'P 1'
_symmetry_Int_Tables_number 1
_cell_length_a 2.6266
_cell_length_b 3.9450
_cell_length_c 5.3690
_cell_angle_alpha 90.00
_cell_angle_beta 90.00
_cell_angle_gamma 90.00
loop_
_symmetry_equiv_pos_as_xyz
'x,y,z'
loop_
_atom_site_label
_atom_site_fract_x
_atom_site_fract_y
_atom_site_fract_z
W1 0.0000 0.0000 0.9995
W2 0.5000 0.5000 0.2632
Cu1 0.5000 0.5000 0.7349
Be1 0.0000 0.0000 0.5024

=====

(6)
# Be3CuW, relaxed, DFT PBE-GGA
# crystal system: cubic
# energy of formation: 768 meV/atom
data_Be3CuW
_symmetry_space_group_name_H-M 'P 1'
_symmetry_Int_Tables_number 1
_cell_length_a 3.8548
_cell_length_b 3.8548
_cell_length_c 3.8548
_cell_angle_alpha 90.00
_cell_angle_beta 90.00
_cell_angle_gamma 90.00
loop_
_symmetry_equiv_pos_as_xyz
'x,y,z'
loop_
_atom_site_label
_atom_site_fract_x
_atom_site_fract_y
_atom_site_fract_z
Be1 0.0000 0.0000 0.5000
Be2 0.5000 0.0000 0.0000
Be3 0.0000 0.5000 0.0000
W1 0.5000 0.5000 0.5000
Cu1 0.0000 0.0000 0.0000

=====

(7)
# BeCuW2, relaxed, DFT PBE-GGA
# crystal system: monoclinic
# energy of formation: 304 meV/atom
data_BeCuW2
_symmetry_space_group_name_H-M 'P 1'
_symmetry_Int_Tables_number 1
_cell_length_a 5.6840
_cell_length_b 4.6942
_cell_length_c 2.6567
_cell_angle_alpha 87.21
_cell_angle_beta 67.23
_cell_angle_gamma 119.73
loop_
_symmetry_equiv_pos_as_xyz
'x,y,z'
loop_
_atom_site_label
_atom_site_fract_x
_atom_site_fract_y
_atom_site_fract_z
Cu1 0.5000 0.5000 0.0000
Be1 0.0000 0.5000 0.5000
W1 0.5000 0.0000 0.5000
W2 0.0000 0.0000 0.0000

=====

(8)
# BeCuW2, relaxed, DFT PBE-GGA
# crystal system: monoclinic
# energy of formation: 256 meV/atom
data_BeCuW2
_symmetry_space_group_name_H-M 'P 1'
_symmetry_Int_Tables_number 1
_cell_length_a 4.8655
_cell_length_b 4.8655
_cell_length_c 4.5063
_cell_angle_alpha 71.07
_cell_angle_beta 71.07
_cell_angle_gamma 31.62
loop_
_symmetry_equiv_pos_as_xyz
'x,y,z'
loop_
_atom_site_label
_atom_site_fract_x
_atom_site_fract_y
_atom_site_fract_z
W1 0.0151 0.0151 0.9684
W2 0.2258 0.2258 0.2950
Be1 0.4793 0.4793 0.4822
Cu1 0.7798 0.7798 0.7544